The following is a DFT calculation (PBE-GGA) of a geometry-optimized In12Hg5Pd3 structure.

a b c (Å): 14.3575 14.3575 14.3575
angles (deg): 109.47 109.47 109.47
With the nearest neighbours (Å) after each atom.
Element x y z (fractional)
In (0.8336, 0.8975, 0.2614)  1 Pd 2.74, 2 Hg 2.85-2.91, 1 In 2.95
In (0.6664, 0.2386, 0.6025)  1 Pd 2.74, 2 Hg 2.85-2.91, 1 In 2.95
In (0.1025, 0.1664, 0.2386)  1 Pd 2.74, 2 Hg 2.85-2.91, 1 In 2.95
In (0.2614, 0.3975, 0.8336)  1 Pd 2.74, 2 Hg 2.85-2.91, 1 In 2.95
In (0.5639, 0.6361, 0.3975)  1 Pd 2.74, 2 Hg 2.85-2.91, 1 In 2.95
In (0.1664, 0.0639, 0.9277)  1 Pd 2.74, 2 Hg 2.85-2.91, 1 In 2.95
In (0.6025, 0.8639, 0.4361)  1 Pd 2.74, 2 Hg 2.85-2.91, 1 In 2.95
In (0.7614, 0.3336, 0.8975)  1 Pd 2.74, 2 Hg 2.85-2.91, 1 In 2.95
In (0.5639, 0.9277, 0.6664)  1 Pd 2.74, 2 Hg 2.85-2.91, 1 In 2.95
In (0.9361, 0.1025, 0.8639)  1 Pd 2.74, 2 Hg 2.85-2.91, 1 In 2.95
In (0.2386, 0.6664, 0.1025)  1 Pd 2.74, 2 Hg 2.85-2.91, 1 In 2.95
In (0.3639, 0.9277, 0.7614)  1 Pd 2.74, 2 Hg 2.85-2.91, 1 In 2.95
In (0.3336, 0.7614, 0.3975)  1 Pd 2.74, 2 Hg 2.85-2.91, 1 In 2.95
In (0.3975, 0.2614, 0.3336)  1 Pd 2.74, 2 Hg 2.85-2.91, 1 In 2.95
In (0.7386, 0.1361, 0.0723)  1 Pd 2.74, 2 Hg 2.85-2.91, 1 In 2.95
In (0.9361, 0.8336, 0.5723)  1 Pd 2.74, 2 Hg 2.85-2.91, 1 In 2.95
In (0.9277, 0.3639, 0.2614)  1 Pd 2.74, 2 Hg 2.85-2.91, 1 In 2.95
In (0.9277, 0.5639, 0.1664)  1 Pd 2.74, 2 Hg 2.85-2.91, 1 In 2.95
In (0.0723, 0.4361, 0.8336)  1 Pd 2.74, 2 Hg 2.85-2.91, 1 In 2.95
In (0.4361, 0.3639, 0.6025)  1 Pd 2.74, 2 Hg 2.85-2.91, 1 In 2.95
In (0.8975, 0.0639, 0.6361)  1 Pd 2.74, 2 Hg 2.85-2.91, 1 In 2.95
In (0.3639, 0.4361, 0.1025)  1 Pd 2.74, 2 Hg 2.85-2.91, 1 In 2.95
In (0.8336, 0.9361, 0.0723)  1 Pd 2.74, 2 Hg 2.85-2.91, 1 In 2.95
In (0.8639, 0.2614, 0.4277)  1 Pd 2.74, 2 Hg 2.85-2.91, 1 In 2.95
In (0.8975, 0.8336, 0.7614)  1 Pd 2.74, 2 Hg 2.85-2.91, 1 In 2.95
In (0.6361, 0.0723, 0.2386)  1 Pd 2.74, 2 Hg 2.85-2.91, 1 In 2.95
In (0.8639, 0.6025, 0.9361)  1 Pd 2.74, 2 Hg 2.85-2.91, 1 In 2.95
In (0.5723, 0.3336, 0.9361)  1 Pd 2.74, 2 Hg 2.85-2.91, 1 In 2.95
In (0.3975, 0.1361, 0.5639)  1 Pd 2.74, 2 Hg 2.85-2.91, 1 In 2.95
In (0.1025, 0.9361, 0.3639)  1 Pd 2.74, 2 Hg 2.85-2.91, 1 In 2.95
In (0.6025, 0.7386, 0.6664)  1 Pd 2.74, 2 Hg 2.85-2.91, 1 In 2.95
In (0.2614, 0.8639, 0.9277)  1 Pd 2.74, 2 Hg 2.85-2.91, 1 In 2.95
In (0.6361, 0.5639, 0.8975)  1 Pd 2.74, 2 Hg 2.85-2.91, 1 In 2.95
In (0.4277, 0.7614, 0.8639)  1 Pd 2.74, 2 Hg 2.85-2.91, 1 In 2.95
In (0.6664, 0.4277, 0.5639)  1 Pd 2.74, 2 Hg 2.85-2.91, 1 In 2.95
In (0.2386, 0.5723, 0.6361)  1 Pd 2.74, 2 Hg 2.85-2.91, 1 In 2.95
In (0.1361, 0.7386, 0.5723)  1 Pd 2.74, 2 Hg 2.85-2.91, 1 In 2.95
In (0.4361, 0.0723, 0.3336)  1 Pd 2.74, 2 Hg 2.85-2.91, 1 In 2.95
In (0.0639, 0.1664, 0.4277)  1 Pd 2.74, 2 Hg 2.85-2.91, 1 In 2.95
In (0.5723, 0.2386, 0.1361)  1 Pd 2.74, 2 Hg 2.85-2.91, 1 In 2.95
In (0.0639, 0.8975, 0.1361)  1 Pd 2.74, 2 Hg 2.85-2.91, 1 In 2.95
In (0.7614, 0.4277, 0.3639)  1 Pd 2.74, 2 Hg 2.85-2.91, 1 In 2.95
In (0.0723, 0.6361, 0.7386)  1 Pd 2.74, 2 Hg 2.85-2.91, 1 In 2.95
In (0.7386, 0.6025, 0.1664)  1 Pd 2.74, 2 Hg 2.85-2.91, 1 In 2.95
In (0.3336, 0.5723, 0.4361)  1 Pd 2.74, 2 Hg 2.85-2.91, 1 In 2.95
In (0.1361, 0.3975, 0.0639)  1 Pd 2.74, 2 Hg 2.85-2.91, 1 In 2.95
In (0.4277, 0.6664, 0.0639)  1 Pd 2.74, 2 Hg 2.85-2.91, 1 In 2.95
In (0.1664, 0.1025, 0.7386)  1 Pd 2.74, 2 Hg 2.85-2.91, 1 In 2.95
Pd (0.3750, 0.7500, 0.6250)  4 In 2.74
Pd (0.3750, 0.6250, 0.2500)  4 In 2.74
Pd (0.8750, 0.1250, 0.2500)  4 In 2.74
Pd (0.7500, 0.3750, 0.1250)  4 In 2.74
Pd (0.8750, 0.7500, 0.1250)  4 In 2.74
Pd (0.1250, 0.8750, 0.7500)  4 In 2.74
Pd (0.6250, 0.3750, 0.7500)  4 In 2.74
Pd (0.6250, 0.2500, 0.3750)  4 In 2.74
Pd (0.7500, 0.8750, 0.6250)  4 In 2.74
Pd (0.2500, 0.1250, 0.3750)  4 In 2.74
Pd (0.1250, 0.2500, 0.8750)  4 In 2.74
Pd (0.2500, 0.6250, 0.8750)  4 In 2.74
Hg (0.1250, 0.7500, 0.3750)  4 In 2.85
Hg (0.8750, 0.6250, 0.7500)  4 In 2.85
Hg (0.0000, 0.0000, 0.5000)  6 In 2.91
Hg (0.8750, 0.2500, 0.6250)  4 In 2.85
Hg (0.7500, 0.6250, 0.3750)  4 In 2.85
Hg (0.2500, 0.8750, 0.1250)  4 In 2.85
Hg (0.5000, 0.5000, 0.5000)  6 In 2.91
Hg (0.3750, 0.2500, 0.1250)  4 In 2.85
Hg (0.2500, 0.3750, 0.6250)  4 In 2.85
Hg (0.5000, 0.5000, 0.0000)  6 In 2.91
Hg (0.0000, 0.5000, 0.0000)  6 In 2.91
Hg (0.3750, 0.1250, 0.7500)  4 In 2.85
Hg (0.6250, 0.8750, 0.2500)  4 In 2.85
Hg (0.0000, 0.5000, 0.5000)  6 In 2.91
Hg (0.1250, 0.3750, 0.2500)  4 In 2.85
Hg (0.5000, 0.0000, 0.0000)  6 In 2.91
Hg (0.0000, 0.0000, 0.0000)  6 In 2.91
Hg (0.6250, 0.7500, 0.8750)  4 In 2.85
Hg (0.7500, 0.1250, 0.8750)  4 In 2.85
Hg (0.5000, 0.0000, 0.5000)  6 In 2.91

* space group: Ia-3d, No. 230
* formation enthalpy at 0 K: 18.5 meV per atom
* mass density: 7.9 Mg/m³